Entry from the Alexandria database: an optimized crystal structure of RbMnIr2 (PBE).

Cell: 4.593 4.593 4.593 Å, 60.00 60.00 60.00°
Positions (direct):
Mn (0.000, 0.000, 0.000)
Ir (0.250, 0.250, 0.250)
Ir (0.750, 0.750, 0.750)
Rb (0.500, 0.500, 0.500)

Summary:
Energy of formation (eV/atom): 1.751
Symmetry: Fm-3m
V (Å³ per atom): 17.13
E_tot (eV/atom): -5.214